(1)
A geometry-optimized ScBeCoBi structure, computed with PBE.

Summary:
- Magnetic moment: 0.3 μB/f.u.
- Electronic total energy: -5.1727 eV per atom
- Calculated volume: 65 Å³/f.u.
- Excess energy over the best structure of this formula in the dataset: 0 meV per atom

```
data_ScBeCoBi
_chemical_formula_sum 'Sc4 Be4 Co4 Bi4'
_cell_length_a 6.3986
_cell_length_b 6.3986
_cell_length_c 6.3986
_cell_angle_alpha 90.00
_cell_angle_beta 90.00
_cell_angle_gamma 90.00
_symmetry_space_group_name_H-M 'F -4 3 m'
_symmetry_Int_Tables_number 216
_symmetry_space_group_name_Hall 'F -4 2 3'
loop_
_atom_site_label
_atom_site_type_symbol
_atom_site_fract_x
_atom_site_fract_y
_atom_site_fract_z
Sc1 Sc 0.0000 0.0000 0.0000
Be1 Be 0.2500 0.2500 0.7500
Co1 Co 0.2500 0.2500 0.2500
Bi1 Bi 0.0000 0.0000 0.5000
```



(2)
A geometry-optimized KZrAgTe2Se structure, computed with PBE.

Summary:
- Magnetic moment: 0.0 μB/f.u.
- Electronic total energy: -4.5493 eV per atom
- Calculated volume: 176 Å³/f.u.

```
data_KZrAgTe2Se
_chemical_formula_sum 'K4 Zr4 Ag4 Te8 Se4'
_cell_length_a 4.1701
_cell_length_b 15.6701
_cell_length_c 10.7457
_cell_angle_alpha 90.00
_cell_angle_beta 90.00
_cell_angle_gamma 90.00
_symmetry_space_group_name_H-M 'C m c m'
_symmetry_Int_Tables_number 63
_symmetry_space_group_name_Hall '-C 2c 2'
loop_
_atom_site_label
_atom_site_type_symbol
_atom_site_fract_x
_atom_site_fract_y
_atom_site_fract_z
K1 K 0.0000 0.2449 0.2500
Zr1 Zr 0.0000 0.5000 0.0000
Ag1 Ag 0.0000 0.0378 0.7500
Te1 Te 0.0000 0.1321 0.5360
Se1 Se 0.0000 0.4352 0.7500
```



(3)
A geometry-optimized Th5SbTe4 structure, computed with PBE.

Summary:
- Magnetic moment: 0.0 μB/f.u.
- Electronic total energy: -6.4324 eV per atom
- Calculated volume: 286 Å³/f.u.

```
data_Th5SbTe4
_chemical_formula_sum 'Th5 Sb1 Te4'
_cell_length_a 3.8529
_cell_length_b 3.8529
_cell_length_c 19.2752
_cell_angle_alpha 90.00
_cell_angle_beta 90.00
_cell_angle_gamma 90.00
_symmetry_space_group_name_H-M 'P 4/m m m'
_symmetry_Int_Tables_number 123
_symmetry_space_group_name_Hall '-P 4 2'
loop_
_atom_site_label
_atom_site_type_symbol
_atom_site_fract_x
_atom_site_fract_y
_atom_site_fract_z
Th1 Th 0.0000 0.0000 0.0000
Th2 Th 0.0000 0.0000 0.2004
Th3 Th 0.0000 0.0000 0.4028
Sb1 Sb 0.5000 0.5000 0.5000
Te1 Te 0.5000 0.5000 0.0998
Te2 Te 0.5000 0.5000 0.2988
```



(4)
A geometry-optimized Tb3Mg3GaPt2 structure, computed with PBE.

Summary:
- Magnetic moment: 0.0 μB/f.u.
- Electronic total energy: -4.5047 eV per atom
- Calculated volume: 197 Å³/f.u.

```
data_Tb3Mg3GaPt2
_chemical_formula_sum 'Tb3 Mg3 Ga1 Pt2'
_cell_length_a 7.4213
_cell_length_b 7.4213
_cell_length_c 4.1353
_cell_angle_alpha 90.00
_cell_angle_beta 90.00
_cell_angle_gamma 120.00
_symmetry_space_group_name_H-M 'P -6 2 m'
_symmetry_Int_Tables_number 189
_symmetry_space_group_name_Hall 'P -6 -2'
loop_
_atom_site_label
_atom_site_type_symbol
_atom_site_fract_x
_atom_site_fract_y
_atom_site_fract_z
Tb1 Tb 0.0000 0.4176 0.0000
Mg1 Mg 0.0000 0.7509 0.5000
Ga1 Ga 0.0000 0.0000 0.0000
Pt1 Pt 0.3333 0.6667 0.5000
```



(5)
A geometry-optimized Sr2LiPt structure, computed with PBE.

Summary:
- Magnetic moment: 0.0 μB/f.u.
- Electronic total energy: -3.2307 eV per atom
- Calculated volume: 108 Å³/f.u.
- Excess energy over the best structure of this formula in the dataset: 112 meV per atom

```
data_Sr2LiPt
_chemical_formula_sum 'Sr12 Li6 Pt6'
_cell_length_a 5.3531
_cell_length_b 16.0576
_cell_length_c 7.5694
_cell_angle_alpha 90.00
_cell_angle_beta 90.00
_cell_angle_gamma 90.00
_symmetry_space_group_name_H-M 'P n n m'
_symmetry_Int_Tables_number 58
loop_
_symmetry_equiv_pos_as_xyz
'x,y,z'
'-x,-y,-z'
'-x,-y,z'
'x,y,-z'
'x+1/2,-y+1/2,-z+1/2'
'-x+1/2,y+1/2,z+1/2'
'-x+1/2,y+1/2,-z+1/2'
'x+1/2,-y+1/2,z+1/2'
loop_
_atom_site_label
_atom_site_type_symbol
_atom_site_fract_x
_atom_site_fract_y
_atom_site_fract_z
Sr1 Sr 0.0000 0.0000 0.2501
Sr2 Sr 0.0011 0.3333 0.2499
Li1 Li 0.0000 0.5000 0.0000
Li2 Li 0.0016 0.1663 0.0000
Pt1 Pt 0.0000 0.5000 0.5000
Pt2 Pt 0.0011 0.1666 0.5000
```



(6)
A geometry-optimized Tm3Pt4 structure, computed with PBE.

Summary:
- Magnetic moment: 0.0 μB/f.u.
- Electronic total energy: -6.6517 eV per atom
- Calculated volume: 138 Å³/f.u.
- E_form: -8.91 eV per formula unit

```
data_Tm3Pt4
_chemical_formula_sum 'Tm18 Pt24'
_cell_length_a 12.9882
_cell_length_b 12.9882
_cell_length_c 5.6781
_cell_angle_alpha 90.00
_cell_angle_beta 90.00
_cell_angle_gamma 120.00
_symmetry_space_group_name_H-M 'R -3'
_symmetry_Int_Tables_number 148
_symmetry_space_group_name_Hall '-R 3'
loop_
_atom_site_label
_atom_site_type_symbol
_atom_site_fract_x
_atom_site_fract_y
_atom_site_fract_z
Tm1 Tm 0.0419 0.2112 0.2349
Pt1 Pt 0.0000 0.0000 0.0000
Pt2 Pt 0.0000 0.0000 0.5000
Pt3 Pt 0.0519 0.2690 0.7185
```



(7)
A geometry-optimized TlCuHgAu structure, computed with PBE.

Summary:
- Electronic total energy: -2.1913 eV per atom
- Calculated volume: 81 Å³/f.u.
- Excess energy over the best structure of this formula in the dataset: 0 meV per atom

```
data_TlCuHgAu
_chemical_formula_sum 'Tl4 Cu4 Hg4 Au4'
_cell_length_a 6.8737
_cell_length_b 6.8737
_cell_length_c 6.8737
_cell_angle_alpha 90.00
_cell_angle_beta 90.00
_cell_angle_gamma 90.00
_symmetry_space_group_name_H-M 'F -4 3 m'
_symmetry_Int_Tables_number 216
_symmetry_space_group_name_Hall 'F -4 2 3'
loop_
_atom_site_label
_atom_site_type_symbol
_atom_site_fract_x
_atom_site_fract_y
_atom_site_fract_z
Tl1 Tl 0.0000 0.0000 0.0000
Cu1 Cu 0.2500 0.2500 0.2500
Hg1 Hg 0.0000 0.0000 0.5000
Au1 Au 0.2500 0.2500 0.7500
```